Entry 1:
Ca4Er3CuS8 after structural relaxation, computed with PBE-GGA.

Calculated values
N(E_F)	0.234	states/eV per atom
formation energy from raw total energies	-2859	kJ/mol of formula units
ρ	4.77	g/cm³

Cell lengths 7.8292, 7.8292, 19.3359 Å; angles 90.00, 90.00, 120.00 degrees
Space group R-3m (No. 166, hexagonal axes)
One atom of each set of equivalent atoms:
Ca 0.0000 0.0000 0.0000 [3 per cell]
Ca 0.0000 0.5000 0.0000 [9 per cell]
Er 0.0000 0.5000 0.5000 [9 per cell]
Cu 0.0000 0.0000 0.5000 [3 per cell]
S 0.0000 0.0000 0.2471 [6 per cell]
S 0.0022 0.5011 0.2457 [18 per cell]

***

Entry 2:
HfAuIN2 after structural relaxation, computed with PBE-GGA.

Calculated values
N(E_F)	0.428	states/eV per atom
E above lowest polymorph	0	meV/atom
formation energy from raw total energies	209	kJ/mol of formula units
ρ	8.20	g/cm³

Cell lengths 4.1081, 4.1081, 6.3610 Å; angles 90.00, 90.00, 90.00 degrees
Space group P4/mmm (No. 123)
One atom of each set of equivalent atoms:
Hf 0.0000 0.0000 0.0000 [1 per cell]
Au 0.5000 0.5000 0.5000 [1 per cell]
I 0.0000 0.0000 0.5000 [1 per cell]
N 0.0000 0.5000 0.0000 [2 per cell]

***

Entry 3:
Sm2Cd3Hg5 after structural relaxation, computed with PBE-GGA.

Calculated values
total energy	-1.531	eV per atom
N(E_F)	0.508	states/eV per atom
ρ	10.69	g/cm³

Cell lengths 12.6334, 12.7920, 6.3091 Å; angles 90.00, 90.00, 90.00 degrees
Space group Ibam (No. 72)
One atom of each set of equivalent atoms:
Sm 0.1256 0.2400 0.0000 [8 per cell]
Cd 0.0000 0.5000 0.2500 [4 per cell]
Cd 0.1306 0.1364 0.5000 [8 per cell]
Hg 0.0000 0.0000 0.2500 [4 per cell]
Hg 0.1152 0.3475 0.5000 [8 per cell]
Hg 0.2408 0.5000 0.2500 [8 per cell]

***

Entry 4:
ZnAg2Au after structural relaxation, computed with PBE-GGA.

Calculated values
total energy	-2.621	eV per atom
N(E_F)	0.433	states/eV per atom
ρ	11.52	g/cm³

Cell lengths 6.5074, 6.5074, 6.5074 Å; angles 90.00, 90.00, 90.00 degrees
Space group F-43m (No. 216)
One atom of each set of equivalent atoms:
Zn 0.0000 0.0000 0.0000 [4 per cell]
Ag 0.0000 0.0000 0.5000 [4 per cell]
Ag 0.2500 0.2500 0.7500 [4 per cell]
Au 0.2500 0.2500 0.2500 [4 per cell]

***

Entry 5:
Cr2PtPb after structural relaxation, computed with PBE-GGA.

Calculated values
total energy	-6.995	eV per atom
N(E_F)	0.684	states/eV per atom
ρ	11.93	g/cm³

Cell lengths 3.1824, 3.1824, 6.9560 Å; angles 90.00, 90.00, 90.00 degrees
Space group P4mm (No. 99)
One atom of each set of equivalent atoms:
Cr 0.0000 0.0000 0.0000 [1 per cell]
Cr 0.5000 0.5000 0.1790 [1 per cell]
Pt 0.5000 0.5000 0.7807 [1 per cell]
Pb 0.0000 0.0000 0.4904 [1 per cell]

***

Entry 6:
NiIrI3 after structural relaxation, computed with PBE-GGA.

Calculated values
N(E_F)	1.437	states/eV per atom
E above lowest polymorph	236	meV/atom
formation energy from raw total energies	566	kJ/mol of formula units
ρ	7.58	g/cm³

Cell lengths 5.1733, 5.1733, 5.1733 Å; angles 90.00, 90.00, 90.00 degrees
Space group Pm-3m (No. 221)
One atom of each set of equivalent atoms:
Ni 0.0000 0.0000 0.0000 [1 per cell]
Ir 0.5000 0.5000 0.5000 [1 per cell]
I 0.0000 0.0000 0.5000 [3 per cell]